1.
# Rb2CSF6

A relaxed structure of Rb2CSF6 (GGA-PBE, Alexandria via LeMat-Bulk).

Output
As for the uncorrected energy: -39.950 eV for the cell shown. Its mass density is 3.2 g/cm³. Its formation energy from raw total energies is -1296 kJ/mol of formula units. The density of states at the Fermi level comes out at 0.000 states/eV/atom. As for the space group: I4/mmm (139).

Lattice parameters (Å, degrees): 6.471 6.471 6.103 57.99 57.99 90.00
Sites, in units of the cell vectors:
S 0.000 0.000 0.000
C 0.500 0.500 0.000
Rb 0.750 0.250 0.500
Rb 0.250 0.750 0.500
F 0.254 0.254 0.492
F 0.746 0.746 0.508
F 0.339 0.339 0.000
F 0.661 0.661 0.000
F 0.661 0.339 0.000
F 0.339 0.661 0.000

---

2.
# Ti2ZnCr2

A relaxed structure of Ti2ZnCr2 (GGA-PBE, Alexandria via LeMat-Bulk).

Output
As for the uncorrected energy: -69.271 eV for the cell shown. As for the formation energy: 335 meV per atom. The value obtained for the distance to the lowest polymorph of the same formula is 21.3 kJ per mole of atoms. Its mass density is 5.8 g/cm³. The density of states at the Fermi level comes out at 1.145 states/eV/atom. As for the space group: P4/mbm (127).

Lattice parameters (Å, degrees): 6.962 6.962 3.121 90.00 90.00 90.00
Each line ends with the local moment (μB).
Sites, in units of the cell vectors:
Cr 0.161 0.661 0.500  1.65
Cr 0.661 0.839 0.500  1.66
Cr 0.839 0.339 0.500  1.65
Cr 0.339 0.161 0.500  1.65
Zn 0.000 0.000 0.000  -0.07
Zn 0.500 0.500 0.000  -0.07
Ti 0.362 0.862 0.000  -0.37
Ti 0.862 0.638 0.000  -0.37
Ti 0.638 0.138 0.000  -0.36
Ti 0.138 0.362 0.000  -0.38

---

3.
# NaLi2CuSb

A relaxed structure of NaLi2CuSb (GGA-PBE, Alexandria via LeMat-Bulk).

Output
As for the uncorrected energy: -12.269 eV for the cell shown. Its mass density is 2.4 g/cm³. Its formation energy from raw total energies is 106 kJ/mol of formula units. The density of states at the Fermi level comes out at 0.570 states/eV/atom. As for the space group: P4/mmm (123).

Lattice parameters (Å, degrees): 5.170 5.797 5.170 90.00 90.00 90.00
Sites, in units of the cell vectors:
Sb 0.000 0.000 0.000
Li 0.000 0.000 0.500
Li 0.500 0.000 0.000
Cu 0.500 0.500 0.500
Na 0.000 0.500 0.000